(1)
DFT (SCAN) results for a PBEsol-optimized structure of BeNO3.

Results
density of states at the Fermi level	0.67	states/eV per atom
total DFT energy (no corrections)	-5.688	eV per atom
density	2.93	g cm⁻³
SG	No. 221
M_tot	0.20	μB per atom
E_form (uncorrected)	779	meV/atom

abc: 3.4270 3.4270 3.4270
angles: 90.00 90.00 90.00
Closest atoms and distances in Å follow each position.
Element x y z (fractional)
Be  0.0000  0.0000  0.0000  6 O 1.71
N  0.5000  0.5000  0.5000  12 O 2.42
O  0.0000  0.0000  0.5000  2 Be 1.71
O  0.0000  0.5000  0.0000  2 Be 1.71
O  0.5000  0.0000  0.0000  2 Be 1.71

---

(2)
DFT (SCAN) results for a PBEsol-optimized structure of Co2Ir.

Results
density of states at the Fermi level	0.77	states/eV per atom
offset from the most stable computed form	0.0	meV/atom
total DFT energy (no corrections)	-35.219	eV per atom
density	14.58	g cm⁻³
formation energy from the elements	0.02	eV/atom
SG	No. 8
M_tot	1.38	μB per atom

abc: 4.8212 4.8212 6.0324
angles: 103.50 103.50 31.28
Closest atoms and distances in Å follow each position.
Element x y z (fractional)
Co  0.0000  0.0000  0.0000  7 Co 2.50-2.63, 5 Ir 2.51-2.55
Co  0.0556  0.0556  0.6152  8 Co 2.49-2.60, 4 Ir 2.53-2.54
Co  0.3358  0.3358  0.6696  3 Ir 2.49-2.53, 9 Co 2.51-2.60
Co  0.6680  0.6680  0.3471  8 Co 2.49-2.63, 4 Ir 2.49-2.61
Ir  0.3925  0.3925  0.2872  8 Co 2.49-2.56, 4 Ir 2.60-2.65
Ir  0.7190  0.7190  0.9405  8 Co 2.51-2.61, 4 Ir 2.60-2.65

---

(3)
DFT (SCAN) results for a PBEsol-optimized structure of In8Au.

Results
density of states at the Fermi level	0.38	states/eV per atom
total DFT energy (no corrections)	-37.321	eV per atom
density	8.64	g cm⁻³
formation energy from the elements	0.04	eV/atom
SG	No. 139
M_tot	0.00	μB per atom

abc: 7.3025 7.3025 7.3025
angles: 95.27 95.27 144.70
Closest atoms and distances in Å follow each position.
Element x y z (fractional)
In  0.0000  0.3266  0.3266  11 In 3.17-3.41, 1 Au 3.21
In  0.0000  0.6734  0.6734  11 In 3.17-3.41, 1 Au 3.21
In  0.3266  0.0000  0.3266  11 In 3.17-3.41, 1 Au 3.21
In  0.3411  0.3411  0.6822  10 In 3.13-3.37, 2 Au 3.13
In  0.3411  0.6589  0.0000  10 In 3.13-3.37, 2 Au 3.13
In  0.6589  0.3411  0.0000  10 In 3.13-3.37, 2 Au 3.13
In  0.6589  0.6589  0.3178  10 In 3.13-3.37, 2 Au 3.13
In  0.6734  0.0000  0.6734  11 In 3.17-3.41, 1 Au 3.21
Au  0.0000  0.0000  0.0000  12 In 3.13-3.21